# NaInW2O8 | Alexandria | GGA+U | optimized geometry
data_NaInW2O8
_cell_length_a 7.246
_cell_length_b 7.246
_cell_length_c 6.605
_cell_angle_alpha 90.00
_cell_angle_beta 90.00
_cell_angle_gamma 90.00
_symmetry_space_group_name_H-M 'I -4 m 2'
_symmetry_Int_Tables_number 119
_symmetry_space_group_name_Hall 'I -4 -2'
loop_
_atom_site_label
_atom_site_type_symbol
_atom_site_fract_x
_atom_site_fract_y
_atom_site_fract_z
Na1 Na 0.000 0.000 0.000
In1 In 0.000 0.500 0.750
W1 W 0.000 0.000 0.500
W2 W 0.000 0.500 0.250
O1 O 0.000 0.205 0.659
O2 O 0.000 0.307 0.075
# crystal system: tetragonal
# total moment: 0.0 μB per formula unit
# VASP energy: -6.59 eV per atom
# polymorph energy (0 for the lowest one): 0.1938 eV per atom